[1]
# GGA-PBE CuI2Cl3, relaxed
data_CuI2Cl3
_chemical_formula_sum 'Cu2 I4 Cl6'
_cell_length_a 5.653
_cell_length_b 9.384
_cell_length_c 9.716
_cell_angle_alpha 66.86
_cell_angle_beta 88.11
_cell_angle_gamma 84.81
_space_group_name_H-M_alt 'P -1'
_space_group_IT_number 2
loop_
_space_group_symop_operation_xyz
'x,y,z'
'-x,-y,-z'
loop_
_atom_site_label
_atom_site_fract_x
_atom_site_fract_y
_atom_site_fract_z
Cu1 0.208 0.082 0.377
I1 0.207 0.287 0.817
I2 0.266 0.681 0.105
Cl1 0.097 0.840 0.511
Cl2 0.284 0.321 0.249
Cl3 0.497 0.995 0.274
# DOS(E_F) = 0.12 states/eV/atom
# E_form (uncorrected) = -127.7 kJ/mol of formula units
# ρ = 3.0 g/cm3



[2]
# GGA-PBE Cu2I3Cl, relaxed
data_Cu2I3Cl
_chemical_formula_sum 'Cu8 I12 Cl4'
_cell_length_a 26.291
_cell_length_b 4.291
_cell_length_c 7.600
_cell_angle_alpha 90.00
_cell_angle_beta 106.52
_cell_angle_gamma 90.00
_space_group_name_H-M_alt 'C 1 2/m 1'
_space_group_IT_number 12
loop_
_space_group_symop_operation_xyz
'x,y,z'
'-x,-y,-z'
'-x,y,-z'
'x,-y,z'
'x+1/2,y+1/2,z'
'-x+1/2,-y+1/2,-z'
'-x+1/2,y+1/2,-z'
'x+1/2,-y+1/2,z'
loop_
_atom_site_label
_atom_site_fract_x
_atom_site_fract_y
_atom_site_fract_z
Cu1 0.048 0.000 0.470
Cu2 0.200 0.500 0.601
I1 0.038 0.000 0.796
I2 0.098 0.500 0.406
I3 0.228 0.500 0.297
Cl1 0.181 0.500 0.863
# DOS(E_F) = 1.03 states/eV/atom
# E_form (uncorrected) = -74.6 kJ/mol of formula units
# ρ = 4.4 g/cm3



[3]
# GGA-PBE Cu5I3Cl12, relaxed
data_Cu5I3Cl12
_chemical_formula_sum 'Cu40 I24 Cl96'
_cell_length_a 16.098
_cell_length_b 16.098
_cell_length_c 16.098
_cell_angle_alpha 90.00
_cell_angle_beta 90.00
_cell_angle_gamma 90.00
_space_group_name_H-M_alt 'I a -3 d'
_space_group_IT_number 230
_space_group_name_Hall '-I 4bd 2c 3'
loop_
_atom_site_label
_atom_site_fract_x
_atom_site_fract_y
_atom_site_fract_z
Cu1 0.000 0.000 0.000
Cu2 0.000 0.250 0.375
I1 0.000 0.250 0.125
Cl1 0.022 0.151 0.974
# DOS(E_F) = 1.20 states/eV/atom
# E_form (uncorrected) = -342.8 kJ/mol of formula units
# ρ = 3.6 g/cm3



[4]
# GGA-PBE Cu3I3Cl, relaxed
data_Cu3I3Cl
_chemical_formula_sum 'Cu6 I6 Cl2'
_cell_length_a 8.2105
_cell_length_b 8.2105
_cell_length_c 7.6348
_cell_angle_alpha 90.00
_cell_angle_beta 90.00
_cell_angle_gamma 120.00
_space_group_name_H-M_alt 'P 63/m m c'
_space_group_IT_number 194
_space_group_name_Hall '-P 6c 2c'
loop_
_atom_site_label
_atom_site_fract_x
_atom_site_fract_y
_atom_site_fract_z
Cu1 0.1730 0.3459 0.2500
I1 0.1784 0.3568 0.7500
Cl1 0.3333 0.6667 0.2500
# Energy above the most stable polymorph in this dataset = 0.46 eV/f.u.
# DOS(E_F) = 0.64 states/eV/atom
# E_form (uncorrected) = -125.0 kJ/mol of formula units
# ρ = 4.5 g/cm3



[5]
# GGA-PBE Cu4ICl5, relaxed
data_Cu4ICl5
_chemical_formula_sum 'Cu8 I2 Cl10'
_cell_length_a 7.160
_cell_length_b 10.821
_cell_length_c 6.122
_cell_angle_alpha 90.00
_cell_angle_beta 90.00
_cell_angle_gamma 90.00
_space_group_name_H-M_alt 'P m m n'
_space_group_IT_number 59
loop_
_space_group_symop_operation_xyz
'x,y,z'
'-x,-y,-z'
'-x+1/2,-y+1/2,z'
'x+1/2,y+1/2,-z'
'x+1/2,-y,-z'
'-x+1/2,y,z'
'-x,y+1/2,-z'
'x,-y+1/2,z'
loop_
_atom_site_label
_atom_site_fract_x
_atom_site_fract_y
_atom_site_fract_z
Cu1 0.023 0.250 0.059
Cu2 0.250 0.523 0.475
I1 0.250 0.750 0.211
Cl1 0.002 0.081 0.291
Cl2 0.250 0.250 0.811
# DOS(E_F) = 0.87 states/eV/atom
# E_form (uncorrected) = -408.3 kJ/mol of formula units
# ρ = 3.9 g/cm3



[6]
# GGA-PBE Cu2ICl6, relaxed
data_Cu2ICl6
_chemical_formula_sum 'Cu8 I4 Cl24'
_cell_length_a 12.883
_cell_length_b 11.185
_cell_length_c 7.362
_cell_angle_alpha 90.00
_cell_angle_beta 96.03
_cell_angle_gamma 90.00
_space_group_name_H-M_alt 'C 1 2/c 1'
_space_group_IT_number 15
loop_
_space_group_symop_operation_xyz
'x,y,z'
'-x,-y,-z'
'-x,y,-z+1/2'
'x,-y,z+1/2'
'x+1/2,y+1/2,z'
'-x+1/2,-y+1/2,-z'
'-x+1/2,y+1/2,-z+1/2'
'x+1/2,-y+1/2,z+1/2'
loop_
_atom_site_label
_atom_site_fract_x
_atom_site_fract_y
_atom_site_fract_z
Cu1 0.189 0.037 0.174
I1 0.000 0.386 0.250
Cl1 0.135 0.082 0.885
Cl2 0.135 0.436 0.805
Cl3 0.138 0.231 0.321
# Energy above the most stable polymorph in this dataset = 0.00 eV/f.u.
# DOS(E_F) = 0.56 states/eV/atom
# E_form (uncorrected) = -296.0 kJ/mol of formula units
# ρ = 2.9 g/cm3



[7]
# GGA-PBE CuICl3, relaxed
data_CuICl3
_chemical_formula_sum 'Cu1 I1 Cl3'
_cell_length_a 4.828
_cell_length_b 4.828
_cell_length_c 4.828
_cell_angle_alpha 90.00
_cell_angle_beta 90.00
_cell_angle_gamma 90.00
_space_group_name_H-M_alt 'P m -3 m'
_space_group_IT_number 221
_space_group_name_Hall '-P 4 2 3'
loop_
_atom_site_label
_atom_site_fract_x
_atom_site_fract_y
_atom_site_fract_z
Cu1 0.000 0.000 0.000
I1 0.500 0.500 0.500
Cl1 0.000 0.000 0.500
# Energy above the most stable polymorph in this dataset = 1.54 eV/f.u.
# DOS(E_F) = 1.58 states/eV/atom
# E_form (uncorrected) = 0.5 kJ/mol of formula units
# ρ = 4.4 g/cm3



[8]
# GGA-PBE CuICl6, relaxed
data_CuICl6
_chemical_formula_sum 'Cu2 I2 Cl12'
_cell_length_a 7.190
_cell_length_b 11.156
_cell_length_c 7.264
_cell_angle_alpha 90.00
_cell_angle_beta 115.27
_cell_angle_gamma 90.00
_space_group_name_H-M_alt 'C 1 2/m 1'
_space_group_IT_number 12
loop_
_space_group_symop_operation_xyz
'x,y,z'
'-x,-y,-z'
'-x,y,-z'
'x,-y,z'
'x+1/2,y+1/2,z'
'-x+1/2,-y+1/2,-z'
'-x+1/2,y+1/2,-z'
'x+1/2,-y+1/2,z'
loop_
_atom_site_label
_atom_site_fract_x
_atom_site_fract_y
_atom_site_fract_z
Cu1 0.000 0.000 0.000
I1 0.000 0.500 0.500
Cl1 0.201 0.142 0.203
Cl2 0.202 0.500 0.301
# Energy above the most stable polymorph in this dataset = 0.00 eV/f.u.
# DOS(E_F) = 0.45 states/eV/atom
# E_form (uncorrected) = -151.8 kJ/mol of formula units
# ρ = 2.5 g/cm3



[9]
# GGA-PBE CuI2Cl, relaxed
data_CuI2Cl
_chemical_formula_sum 'Cu1 I2 Cl1'
_cell_length_a 4.111
_cell_length_b 5.439
_cell_length_c 6.355
_cell_angle_alpha 95.77
_cell_angle_beta 91.35
_cell_angle_gamma 103.58
_space_group_name_H-M_alt 'P 1'
_space_group_IT_number 1
loop_
_space_group_symop_operation_xyz
'x,y,z'
loop_
_atom_site_label
_atom_site_fract_x
_atom_site_fract_y
_atom_site_fract_z
Cu1 0.000 0.000 0.000
I1 0.155 0.379 0.297
I2 0.845 0.097 0.619
Cl1 0.445 0.793 0.978
# Energy above the most stable polymorph in this dataset = 0.08 eV/f.u.
# DOS(E_F) = 0.01 states/eV/atom
# E_form (uncorrected) = -64.9 kJ/mol of formula units
# ρ = 4.3 g/cm3



[10]
# GGA-PBE CuICl4, relaxed
data_CuICl4
_chemical_formula_sum 'Cu4 I4 Cl16'
_cell_length_a 6.287
_cell_length_b 11.829
_cell_length_c 12.040
_cell_angle_alpha 90.00
_cell_angle_beta 90.00
_cell_angle_gamma 90.00
_space_group_name_H-M_alt 'C 2 2 21'
_space_group_IT_number 20
loop_
_space_group_symop_operation_xyz
'x,y,z'
'-x,-y,z+1/2'
'x,-y,-z'
'-x,y,-z+1/2'
'x+1/2,y+1/2,z'
'-x+1/2,-y+1/2,z+1/2'
'x+1/2,-y+1/2,-z'
'-x+1/2,y+1/2,-z+1/2'
loop_
_atom_site_label
_atom_site_fract_x
_atom_site_fract_y
_atom_site_fract_z
Cu1 0.000 0.245 0.250
I1 0.245 0.500 0.500
Cl1 0.239 0.352 0.658
Cl2 0.249 0.338 0.353
# E_form (uncorrected) = -168.6 kJ/mol of formula units
# ρ = 2.5 g/cm3



[11]
# GGA-PBE Cu2ICl2, relaxed
data_Cu2ICl2
_chemical_formula_sum 'Cu4 I2 Cl4'
_cell_length_a 8.215
_cell_length_b 8.215
_cell_length_c 3.254
_cell_angle_alpha 90.00
_cell_angle_beta 90.00
_cell_angle_gamma 90.00
_space_group_name_H-M_alt 'P 4/m b m'
_space_group_IT_number 127
_space_group_name_Hall '-P 4 2ab'
loop_
_atom_site_label
_atom_site_fract_x
_atom_site_fract_y
_atom_site_fract_z
Cu1 0.106 0.394 0.000
I1 0.000 0.000 0.000
Cl1 0.133 0.633 0.500
# Energy above the most stable polymorph in this dataset = 1.91 eV/f.u.
# DOS(E_F) = 1.21 states/eV/atom
# E_form (uncorrected) = 37.5 kJ/mol of formula units
# ρ = 4.9 g/cm3



[12]
# GGA-PBE CuICl6, relaxed
data_CuICl6
_chemical_formula_sum 'Cu1 I1 Cl6'
_cell_length_a 6.561
_cell_length_b 6.566
_cell_length_c 6.869
_cell_angle_alpha 61.48
_cell_angle_beta 89.99
_cell_angle_gamma 60.19
_space_group_name_H-M_alt 'P -1'
_space_group_IT_number 2
loop_
_space_group_symop_operation_xyz
'x,y,z'
'-x,-y,-z'
loop_
_atom_site_label
_atom_site_fract_x
_atom_site_fract_y
_atom_site_fract_z
Cu1 0.000 0.000 0.000
I1 0.500 0.000 0.500
Cl1 0.118 0.126 0.240
Cl2 0.245 0.122 0.760
Cl3 0.369 0.511 0.242
# Energy above the most stable polymorph in this dataset = 0.22 eV/f.u.
# E_form (uncorrected) = -130.8 kJ/mol of formula units
# ρ = 3.1 g/cm3